Density functional theory data (PBE) for a relaxed Li4Ag crystal.

a = 4.962 Å, b = 4.962 Å, c = 4.962 Å
α = 90.00°, β = 90.00°, γ = 90.00°
Space group Pm-3m (No. 221)
Symmetry-distinct sites (fractional):
Li 0.000 0.000 0.000 (multiplicity 1)
Li 0.000 0.500 0.500 (multiplicity 3)
Ag 0.500 0.500 0.500 (multiplicity 1)

**E**: -2.01 eV/atom
**Magnetization**: 0.00 μB per cell
**Relative energy among the computed polymorphs**: 216.7 meV per atom

Density functional theory data (PBE) for a relaxed Li5Ag crystal.

a = 9.128 Å, b = 4.199 Å, c = 5.858 Å
α = 90.00°, β = 109.35°, γ = 90.00°
Space group C2/m (No. 12)
Symmetry-distinct sites (fractional):
Li 0.000 0.000 0.000 (multiplicity 2)
Li 0.156 0.500 0.816 (multiplicity 4)
Li 0.170 0.500 0.343 (multiplicity 4)
Ag 0.000 0.000 0.500 (multiplicity 2)

**E**: -2.16 eV/atom
**Magnetization**: 0.00 μB per cell

Density functional theory data (PBE) for a relaxed Li3Ag4 crystal.

a = 2.906 Å, b = 3.942 Å, c = 20.279 Å
α = 90.00°, β = 90.00°, γ = 90.00°
Space group Immm (No. 71)
Symmetry-distinct sites (fractional):
Li 0.000 0.000 0.000 (multiplicity 2)
Li 0.000 0.000 0.145 (multiplicity 4)
Ag 0.000 0.000 0.288 (multiplicity 4)
Ag 0.000 0.000 0.429 (multiplicity 4)

**E**: -2.63 eV/atom
**Magnetization**: 0.00 μB per cell
**Relative energy among the computed polymorphs**: 7.3 meV per atom

Density functional theory data (PBE) for a relaxed Li4Ag crystal.

a = 4.749 Å, b = 6.066 Å, c = 7.600 Å
α = 90.00°, β = 128.46°, γ = 90.00°
Space group P2_1/c (No. 14)
Symmetry-distinct sites (fractional):
Li 0.086 0.211 0.087 (multiplicity 4)
Li 0.291 0.586 0.290 (multiplicity 4)
Ag 0.500 0.000 0.500 (multiplicity 2)

**E**: -2.14 eV/atom
**Magnetization**: 0.00 μB per cell
**Relative energy among the computed polymorphs**: 85.3 meV per atom

no.,ΔH_f (0 K) (eV per atom)
1,0.0952
2,-0.0927
3,-0.1814
4,-0.0362